Density functional theory data (GGA-PBEsol) for Co4Rh after structural relaxation.

The value obtained for the size of the total moment is 7.299 μB per formula unit. Its energy relative to the elements is 0.07 eV per atom. Its density of states at the Fermi level is 5.6 states/eV/f.u. The energy relative to the lowest polymorph listed for this composition is 0.008 eV/atom.

The structure belongs to space group Immm (No. 71); the cell edges are 2.5152, 3.9726 and 11.1817 Å and the angles 90.00°, 90.00° and 90.00°. Symmetry generates all atoms from Co at (0.0000, 0.0000, 0.1023), Co at (0.0000, 0.5000, 0.2119) and Rh at (0.0000, 0.0000, 0.5000).



Density functional theory data (GGA-PBEsol) for Co4Rh after structural relaxation.

The value obtained for the size of the total moment is 7.154 μB per formula unit. Its energy relative to the elements is 0.08 eV per atom. Its density of states at the Fermi level is 6.9 states/eV/f.u. The energy relative to the lowest polymorph listed for this composition is 0.017 eV/atom.

The structure belongs to space group R-3m (No. 166, hexagonal axes); the cell edges are 2.5279, 2.5279 and 30.3536 Å and the angles 90.00°, 90.00° and 120.00°. Symmetry generates all atoms from Co at (0.0000, 0.0000, 0.0963), Co at (0.0000, 0.0000, 0.3008) and Rh at (0.0000, 0.0000, 0.5000).



Density functional theory data (GGA-PBEsol) for Co2Rh3 after structural relaxation.

The value obtained for the size of the total moment is 4.813 μB per formula unit. Its energy relative to the elements is 0.28 eV per atom. Its density of states at the Fermi level is 8.5 states/eV/f.u. The energy relative to the lowest polymorph listed for this composition is 0.216 eV/atom.

The structure belongs to space group Fmmm (No. 69); the cell edges are 2.6594, 4.4486 and 21.5522 Å and the angles 90.00°, 90.00° and 90.00°. Symmetry generates all atoms from Co at (0.0000, 0.0000, 0.0987), Rh at (0.0000, 0.0000, 0.3036) and Rh at (0.0000, 0.0000, 0.5000).



Q: What is the energy relative to the lowest polymorph listed for this composition in the first record?
A: 0.008 eV/atom